Material: SrReAs2W
Method: DFT, PBE
State: optimized geometry

Calculated values
- Spin magnetization: 1.48 μB per cell
- E_form: 0.62 eV/atom

a b c (Å): 4.9442 4.9442 4.9601
angles (deg): 90.00 90.00 90.00
Space group P4/mmm (No. 123)
One atom of each set of equivalent atoms:
Sr 0.0000 0.0000 0.0000 x1
Re 0.5000 0.5000 0.0000 x1
As 0.0000 0.5000 0.5000 x2
W 0.5000 0.5000 0.5000 x1